1.
Sm2Dy6Y3Pu: relaxed, PBE.

Lattice parameters (Å, degrees): 6.1551 10.6685 11.7458 90.00 100.11 90.00
With the nearest neighbours (Å) after each atom.
Space group C2/m (No. 12)
Asymmetric unit:
Sm 0.0000 0.1665 0.0000 [4 per cell]  6 Dy 3.54, 3 Sm 3.55-3.56, 3 Pu 3.55-3.56
Dy 0.2472 0.3354 0.2488 [8 per cell]  6 Dy 3.51-3.58, 1 Pu 3.52, 2 Sm 3.54, 3 Y 3.55-3.57
Dy 0.2467 0.5000 0.7510 [4 per cell]  6 Dy 3.51-3.58, 1 Pu 3.52, 2 Sm 3.54, 3 Y 3.55-3.57
Y 0.0000 0.0000 0.5000 [2 per cell]  6 Dy 3.55-3.57, 6 Y 3.55-3.56
Y 0.0000 0.3331 0.5000 [4 per cell]  6 Dy 3.55-3.57, 6 Y 3.55-3.56
Pu 0.0000 0.5000 0.0000 [2 per cell]  6 Dy 3.52, 6 Sm 3.55-3.56

Calculated values
Theoretical density: 7.81 g/cm³
Crystal system: monoclinic
E_form: 48 meV per atom
Density of states at the Fermi level: 51.330 states/eV/cell
Total DFT energy (no corrections): -5.850 eV/atom


2.
Sm6Dy2Y3Pu: relaxed, PBE.

Lattice parameters (Å, degrees): 6.2170 10.7722 11.8003 90.00 100.14 90.00
With the nearest neighbours (Å) after each atom.
Space group C2/m (No. 12)
Asymmetric unit:
Sm 0.2474 0.0000 0.2528 [4 per cell]  1 Pu 3.53, 2 Dy 3.55, 6 Sm 3.55-3.61, 3 Y 3.59-3.61
Sm 0.2473 0.1649 0.7474 [8 per cell]  1 Pu 3.53, 2 Dy 3.55, 6 Sm 3.55-3.61, 3 Y 3.59-3.60
Dy 0.0000 0.3335 0.5000 [4 per cell]  6 Sm 3.55, 3 Dy 3.59, 3 Pu 3.59
Y 0.0000 0.1668 0.0000 [4 per cell]  6 Sm 3.59-3.60, 6 Y 3.59
Y 0.0000 0.5000 0.0000 [2 per cell]  6 Sm 3.59-3.61, 6 Y 3.59
Pu 0.0000 0.0000 0.5000 [2 per cell]  6 Sm 3.53, 6 Dy 3.59

Calculated values
Theoretical density: 7.42 g/cm³
Crystal system: monoclinic
E_form: 45 meV per atom
Density of states at the Fermi level: 46.618 states/eV/cell
Total DFT energy (no corrections): -5.892 eV/atom


3.
DyPu5Sn6: relaxed, PBE.

Lattice parameters (Å, degrees): 4.8187 9.0107 14.4749 90.00 90.00 90.00
With the nearest neighbours (Å) after each atom.
Space group Immm (No. 71)
Asymmetric unit:
Dy 0.0000 0.0000 0.0000 [2 per cell]  8 Sn 3.28-3.30, 4 Pu 3.45
Pu 0.0000 0.0000 0.3285 [4 per cell]  8 Sn 3.26-3.35, 4 Pu 3.32-3.46
Pu 0.0000 0.5000 0.0000 [2 per cell]  8 Sn 3.29-3.30, 4 Pu 3.46
Pu 0.0000 0.5000 0.3296 [4 per cell]  8 Sn 3.28-3.34, 2 Pu 3.32, 2 Dy 3.45
Sn 0.0000 0.2495 0.1651 [8 per cell]  7 Pu 3.26-3.30, 1 Dy 3.28, 4 Sn 3.39-3.44
Sn 0.0000 0.2499 0.5000 [4 per cell]  6 Pu 3.30-3.35, 2 Dy 3.30, 4 Sn 3.39

Calculated values
Theoretical density: 11.07 g/cm³
Crystal system: orthorhombic
E_form: -392 meV per atom
Density of states at the Fermi level: 86.858 states/eV/cell
Total DFT energy (no corrections): -8.749 eV/atom


4.
TbDyPuSn: relaxed, PBE.

Lattice parameters (Å, degrees): 7.6398 7.6398 7.6398 90.00 90.00 90.00
With the nearest neighbours (Å) after each atom.
Space group F-43m (No. 216)
Asymmetric unit:
Tb 0.0000 0.0000 0.0000 [4 per cell]  4 Dy 3.31, 4 Pu 3.31
Dy 0.2500 0.2500 0.7500 [4 per cell]  4 Tb 3.31, 4 Sn 3.31
Pu 0.2500 0.2500 0.2500 [4 per cell]  4 Tb 3.31, 4 Sn 3.31
Sn 0.0000 0.0000 0.5000 [4 per cell]  4 Dy 3.31, 4 Pu 3.31

Calculated values
Theoretical density: 10.19 g/cm³
Crystal system: cubic
E_form: -118 meV per atom
Density of states at the Fermi level: 43.375 states/eV/cell
Total DFT energy (no corrections): -7.010 eV/atom


For the records above, the corresponding total moment values read 12.6; 13.2; 36.2; 27.8 Bohr magnetons per cell.